<i>
Density functional theory data (PBE) for crystalline AsC at its relaxed geometry.

abc: 3.1393 3.1393 7.4498
angles: 90.00 90.00 120.00
Closest atoms and distances in Å follow each position.
Positions (direct):
As (0.6667, 0.3333, 0.7806)  4 C 1.92-1.99
As (0.3333, 0.6667, 0.3883)  3 C 2.04
C (0.6667, 0.3333, 0.5131)  4 As 1.99-2.04
C (0.0000, 0.0000, 0.8646)  3 As 1.92

Output
Total moment ... 0.000 μB per atom
SG ... P3m1 (156)

***

<ii>
Density functional theory data (PBE) for crystalline AsC at its relaxed geometry.

abc: 4.8938 3.1296 5.3321
angles: 90.00 108.65 90.00
Closest atoms and distances in Å follow each position.
Positions (direct):
C (0.5967, 0.5000, 0.4337)  1 C 1.35
C (0.4033, 0.5000, 0.5663)  1 C 1.35
As (0.7571, 0.0000, 0.3033)  2 C 1.97
As (0.2429, 0.0000, 0.6967)  2 C 1.97

Output
Total moment ... 0.000 μB per atom
SG ... P2/m (10)

***

Most stable = <ii>

***

<i>
Density functional theory data (PBE) for crystalline AsC at its relaxed geometry.

abc: 7.0254 7.0254 2.6281
angles: 90.00 90.00 148.80
Closest atoms and distances in Å follow each position.
Positions (direct):
C (0.5031, 0.4969, 0.2500)  2 C 1.32
C (0.4969, 0.5031, 0.7500)  2 C 1.32
As (0.1944, 0.8056, 0.2500)  6 As 2.63-2.75
As (0.8056, 0.1944, 0.7500)  6 As 2.63-2.75

Output
Total moment ... 0.000 μB per atom
SG ... Cmcm (63)

***

<ii>
Density functional theory data (PBE) for crystalline AsC at its relaxed geometry.

abc: 4.3124 4.3124 4.3124
angles: 90.00 90.00 90.00
Closest atoms and distances in Å follow each position.
Positions (direct):
C (0.0000, 0.5000, 0.0000)  4 As 2.16
C (0.0000, 0.0000, 0.5000)  4 As 2.16
C (0.5000, 0.0000, 0.0000)  4 As 2.16
As (0.5000, 0.0000, 0.5000)  4 C 2.16
As (0.0000, 0.5000, 0.5000)  4 C 2.16
As (0.5000, 0.5000, 0.0000)  4 C 2.16

Output
Total moment ... 0.067 μB per atom
SG ... Pm-3m (221)

***

<iii>
Density functional theory data (PBE) for crystalline AsC at its relaxed geometry.

abc: 3.1188 3.1188 5.4714
angles: 90.00 90.00 120.00
Closest atoms and distances in Å follow each position.
Positions (direct):
C (0.3333, 0.6667, 0.2500)  6 As 2.26
C (0.6667, 0.3333, 0.7500)  6 As 2.26
As (0.0000, 0.0000, 0.5000)  6 C 2.26
As (0.0000, 0.0000, 0.0000)  6 C 2.26

Output
Total moment ... 0.000 μB per atom
SG ... P6_3/mmc (194)

***

Most stable = <i>